Computed, not measured: crystalline Pr3Sm4Sn4 at its relaxed geometry at the PBE level of DFT.

Cell: 4.2232 9.2749 10.3517 Å, 116.61 101.77 90.00°
Last column: magnetic moment on the atom in μB.
Positions (direct):
Sn 0.5000 0.2212 0.0000  -0.01
Pr 0.0000 0.5000 0.0000  0.02
Sm 0.3294 0.1471 0.6588  0.11
Pr 0.0982 0.0982 0.1965  0.07
Sm 0.6706 0.4883 0.3412  0.11
Sn 0.5000 0.7788 0.0000  -0.01
Sn 0.7341 0.2341 0.4681  -0.01
Sn 0.2659 0.7659 0.5319  -0.01
Sm 0.6706 0.8529 0.3412  0.11
Pr 0.9018 0.9018 0.8035  0.07
Sm 0.3294 0.5117 0.6588  0.11

Calculated values
Formation energy   -0.551 eV per atom
Magnetization   1.4 μB/cell

Computed, not measured: crystalline PrSmSn at its relaxed geometry at the PBE level of DFT.

Cell: 5.0266 7.0562 10.4428 Å, 90.00 90.00 90.00°
Positions (direct):
Pr 0.2500 0.4250 0.7018
Sn 0.7500 0.2030 0.8736
Pr 0.7500 0.5750 0.2982
Pr 0.2500 0.9250 0.7982
Sm 0.7500 0.6620 0.9500
Sm 0.7500 0.1620 0.5500
Sm 0.2500 0.8380 0.4500
Sn 0.7500 0.7030 0.6264
Sn 0.2500 0.2970 0.3736
Pr 0.7500 0.0750 0.2018
Sm 0.2500 0.3380 0.0500
Sn 0.2500 0.7970 0.1264

Calculated values
Formation energy   -0.595 eV per atom
Excess energy over the best structure of this formula in the dataset   0.0 meV per atom
Magnetization   0.0 μB/cell

Computed, not measured: crystalline Pr6Sm12Sn at its relaxed geometry at the PBE level of DFT.

Cell: 8.6707 8.6707 8.6707 Å, 88.87 88.87 88.87°
Positions (direct):
Sm 0.0142 0.1859 0.3576
Sm 0.5384 0.4329 0.7792
Sm 0.9858 0.8141 0.6424
Sm 0.4329 0.7792 0.5384
Pr 0.7420 0.9074 0.3020
Pr 0.9074 0.3020 0.7420
Sm 0.5671 0.2208 0.4616
Sm 0.2208 0.4616 0.5671
Sm 0.8141 0.6424 0.9858
Pr 0.0926 0.6980 0.2580
Pr 0.6980 0.2580 0.0926
Pr 0.2580 0.0926 0.6980
Pr 0.3020 0.7420 0.9074
Sm 0.6424 0.9858 0.8141
Sm 0.4616 0.5671 0.2208
Sm 0.3576 0.0142 0.1859
Sm 0.1859 0.3576 0.0142
Sn 0.0000 0.0000 0.0000
Sm 0.7792 0.5384 0.4329

Calculated values
Formation energy   0.026 eV per atom
Magnetization   0.0 μB/cell

Number 1: density of states at the Fermi level 1.171 states/eV per atom. Number 2: density of states at the Fermi level 0.764 states/eV per atom. Number 3: density of states at the Fermi level 1.406 states/eV per atom.